A:
Here is a geometry-optimized CsTl4Bi structure from Alexandria via LeMat-Bulk. Energies are from PBE.

Summary:
The space-group type is Pmma (51). The calculation puts the density of states at the Fermi level at 4.7 states/eV/cell.

Structure (POSCAR):
```
CsTl4Bi
1.0
-1.2872 4.1339 1.5767
-4.3678 -4.1335 7.2717
9.1463 0.6184 5.8453
Bi Tl Cs
2 8 2
direct
0.0000 0.2232 0.7500 Bi
0.0000 0.7768 0.2500 Bi
0.5000 0.7183 0.0407 Tl
0.5000 0.9659 0.7500 Tl
0.0000 0.0000 0.5000 Tl
0.0000 0.0000 0.0000 Tl
0.5000 0.2817 0.5407 Tl
0.5000 0.0341 0.2500 Tl
0.5000 0.7183 0.4593 Tl
0.5000 0.2817 0.9593 Tl
0.0000 0.3719 0.2500 Cs
0.0000 0.6281 0.7500 Cs
```

B:
Here is a geometry-optimized CsTl4Bi structure from Alexandria via LeMat-Bulk. Energies are from PBE.

Summary:
The space-group type is F-43m (216). The calculation puts the density of states at the Fermi level at 3.5 states/eV/cell.

Structure (POSCAR):
```
CsTl4Bi
1.0
6.7390 0.0000 0.0000
3.3695 5.8361 0.0000
3.3695 1.9454 5.5023
Tl Cs Bi
4 1 1
direct
0.6264 0.6264 0.1208 Tl
0.6264 0.6264 0.6264 Tl
0.6264 0.1208 0.6264 Tl
0.1208 0.6264 0.6264 Tl
0.2500 0.2500 0.2500 Cs
0.0000 0.0000 0.0000 Bi
```

Stability, highest: A

A:
Here is a geometry-optimized CsUBi2 structure from Alexandria via LeMat-Bulk. Energies are from PBE.

Summary:
The space-group type is P4/mmm (123). The calculation puts the density of states at the Fermi level at 4.6 states/eV/cell.

Structure (POSCAR):
```
CsUBi2
1.0
-3.0705 -1.3519 1.5672
1.2780 -3.4439 -0.4668
4.4988 0.4249 9.1809
Bi Cs U
2 1 1
direct
0.0000 0.0000 0.2088 Bi
0.0000 0.0000 0.7912 Bi
0.5000 0.5000 0.5000 Cs
0.5000 0.5000 0.0000 U
```

B:
Here is a geometry-optimized CsUBi2 structure from Alexandria via LeMat-Bulk. Energies are from PBE.

Summary:
The space-group type is R-3m (166). The calculation puts the density of states at the Fermi level at 5.2 states/eV/cell.

Structure (POSCAR):
```
CsUBi2
1.0
-0.4974 3.9015 2.5870
-0.7722 -0.3297 4.6321
8.3906 1.3332 3.8859
Bi Cs U
2 1 1
direct
0.2748 0.2748 0.1757 Bi
0.7252 0.7252 0.8243 Bi
0.5000 0.5000 0.5000 Cs
0.0000 0.0000 0.0000 U
```

Stability, highest: A

A:
Here is a geometry-optimized CsVBi3 structure from Alexandria via LeMat-Bulk. Energies are from PBE.

Summary:
The space-group type is Pm-3m (221). The calculation puts the density of states at the Fermi level at 11.7 states/eV/cell.

Structure (POSCAR):
```
CsVBi3
1.0
6.1701 0.0000 0.0000
0.0000 6.1701 0.0000
0.0000 0.0000 6.1701
Bi V Cs
3 1 1
direct
0.0000 0.5000 0.0000 Bi
0.5000 0.0000 0.0000 Bi
0.0000 0.0000 0.5000 Bi
0.5000 0.5000 0.5000 V
0.0000 0.0000 0.0000 Cs
```

B:
Here is a geometry-optimized CsVBi3 structure from Alexandria via LeMat-Bulk. Energies are from PBE.

Summary:
The space-group type is Pm-3m (221). The calculation puts the density of states at the Fermi level at 7.4 states/eV/cell.

Structure (POSCAR):
```
CsVBi3
1.0
-4.5231 0.4125 3.1008
-3.0114 -2.0493 -4.1201
0.8464 -5.0866 1.9114
Bi V Cs
3 1 1
direct
0.5000 0.0000 0.0000 Bi
0.0000 0.5000 0.0000 Bi
0.0000 0.0000 0.5000 Bi
0.0000 0.0000 0.0000 V
0.5000 0.5000 0.5000 Cs
```

Stability, highest: B

A:
Here is a geometry-optimized CsBiW3 structure from Alexandria via LeMat-Bulk. Energies are from PBE.

Summary:
The space-group type is Pm-3m (221). The calculation puts the density of states at the Fermi level at 9.4 states/eV/cell.

Structure (POSCAR):
```
CsBiW3
1.0
-3.4776 0.2218 3.9604
2.7509 -3.6597 2.6205
2.8577 3.7927 2.2969
Bi Cs W
1 1 3
direct
0.0000 0.0000 0.0000 Bi
0.5000 0.5000 0.5000 Cs
0.0000 0.0000 0.5000 W
0.5000 0.0000 0.0000 W
0.0000 0.5000 0.0000 W
```

B:
Here is a geometry-optimized CsBiW3 structure from Alexandria via LeMat-Bulk. Energies are from PBE.

Summary:
The space-group type is Pm-3m (221). The calculation puts the density of states at the Fermi level at 4.5 states/eV/cell.

Structure (POSCAR):
```
CsBiW3
1.0
-4.2864 0.1277 2.5939
1.5711 -3.8584 2.7862
2.0680 3.1960 3.2599
Cs W Bi
1 3 1
direct
0.0000 0.0000 0.0000 Cs
0.0000 0.0000 0.5000 W
0.5000 0.0000 0.0000 W
0.0000 0.5000 0.0000 W
0.5000 0.5000 0.5000 Bi
```

Stability, highest: A

A:
Here is a geometry-optimized Cs2BiW structure from Alexandria via LeMat-Bulk. Energies are from PBE.

Summary:
The space-group type is I-42d (122). The calculation puts the density of states at the Fermi level at 2.5 states/eV/cell.

Structure (POSCAR):
```
Cs2BiW
1.0
9.4532 -4.2759 -2.6234
-6.5932 4.3645 7.2117
-5.0152 -9.4531 0.1223
Cs W Bi
4 2 2
direct
0.6434 0.3750 0.7684 Cs
0.6066 0.8750 0.2316 Cs
0.1250 0.3566 0.7316 Cs
0.6250 0.3934 0.2684 Cs
0.5000 0.5000 0.0000 W
0.7500 0.2500 0.5000 W
0.2500 0.7500 0.5000 Bi
0.0000 0.0000 0.0000 Bi
```

B:
Here is a geometry-optimized Cs2BiW structure from Alexandria via LeMat-Bulk. Energies are from PBE.

Summary:
The space-group type is Fm-3m (225). The calculation puts the density of states at the Fermi level at 3.7 states/eV/cell.

Structure (POSCAR):
```
Cs2BiW
1.0
5.4268 -3.1808 -0.6957
1.5412 -4.5642 4.1043
-0.0953 -6.0596 -1.8234
Cs Bi W
2 1 1
direct
0.7500 0.7500 0.7500 Cs
0.2500 0.2500 0.2500 Cs
0.5000 0.5000 0.5000 Bi
0.0000 0.0000 0.0000 W
```

Stability, highest: A

A:
Here is a geometry-optimized CsY3Bi structure from Alexandria via LeMat-Bulk. Energies are from PBE.

Summary:
The space-group type is Pm-3m (221). The calculation puts the density of states at the Fermi level at 5.7 states/eV/cell.

Structure (POSCAR):
```
CsY3Bi
1.0
-1.6934 4.3216 3.1877
-5.1582 -0.3793 -2.2260
-1.4937 -3.5896 4.0730
Y Bi Cs
3 1 1
direct
0.0000 0.5000 0.0000 Y
0.0000 0.0000 0.5000 Y
0.5000 0.0000 0.0000 Y
0.5000 0.5000 0.5000 Bi
0.0000 0.0000 0.0000 Cs
```

B:
Here is a geometry-optimized CsY3Bi structure from Alexandria via LeMat-Bulk. Energies are from PBE.

Summary:
The space-group type is Pm-3m (221). The calculation puts the density of states at the Fermi level at 8.6 states/eV/cell.

Structure (POSCAR):
```
CsY3Bi
1.0
6.0737 0.0000 0.0000
0.0000 6.0737 0.0000
0.0000 0.0000 6.0737
Y Bi Cs
3 1 1
direct
0.0000 0.0000 0.5000 Y
0.0000 0.5000 0.0000 Y
0.5000 0.0000 0.0000 Y
0.0000 0.0000 0.0000 Bi
0.5000 0.5000 0.5000 Cs
```

Stability, highest: B